Fe3GeO: relaxed, GGA+U.

a b c (Å): 4.7800 4.7800 4.7800
angles (deg): 90.00 90.00 90.00
With the nearest neighbours (Å) after each atom.
Sites, in units of the cell vectors:
Fe: 0.0000 0.0000 0.5000  2 Ge 2.39
Fe: 0.0000 0.5000 0.0000  2 Ge 2.39
Fe: 0.5000 0.0000 0.0000  2 Ge 2.39
Ge: 0.0000 0.0000 0.0000  6 Fe 2.39
O: 0.5000 0.5000 0.5000  12 Fe 3.38

## Properties
total DFT energy (no corrections) = -19.70 eV for the cell shown
space group = Pm-3m (221)